Entry 1:
Below is a geometry-optimized AcThZnTc structure, with properties calculated at the PBE level.

Cell lengths 7.395, 7.395, 7.395 Å; angles 90.00, 90.00, 90.00 degrees
Space group F-43m (No. 216)
Asymmetric unit:
Ac 0.000 0.000 0.000
Th 0.000 0.000 0.500
Zn 0.250 0.250 0.750
Tc 0.250 0.250 0.250

Summary:
Calculated formation energy in eV/atom: 0.07
E_tot in eV/atom: -5.7252

Entry 2:
Below is a geometry-optimized Ag2HgPd5 structure, with properties calculated at the PBE level.

Cell lengths 5.744, 11.499, 4.025 Å; angles 90.00, 90.00, 90.00 degrees
Space group Pbam (No. 55)
Asymmetric unit:
Ag 0.239 0.128 0.000
Hg 0.000 0.500 0.500
Pd 0.000 0.000 0.500
Pd 0.008 0.751 0.500
Pd 0.247 0.374 0.000

Summary:
Calculated formation energy in eV/atom: -0.06
E_tot in eV/atom: -4.0548
Offset from the most stable computed form in eV per formula unit: 0.04

Entry 3:
Below is a geometry-optimized MnMoSe2 structure, with properties calculated at the PBE level.

Cell lengths 7.904, 3.325, 5.505 Å; angles 90.00, 97.98, 90.00 degrees
Space group C2/m (No. 12)
Asymmetric unit:
Mn 0.000 0.000 0.000
Mo 0.000 0.500 0.500
Se 0.220 0.000 0.726

Summary:
E_tot in eV/atom: -6.7096
Offset from the most stable computed form in eV per formula unit: 1.35
Formation energy (no corrections) in eV/atom: 0.03

Entry 4:
Below is a geometry-optimized FeOsSe2 structure, with properties calculated at the PBE level.

Cell lengths 3.082, 3.082, 6.263 Å; angles 90.00, 90.00, 90.00 degrees
Space group P4/mmm (No. 123)
Asymmetric unit:
Fe 0.000 0.000 0.000
Os 0.000 0.000 0.500
Se 0.500 0.500 0.241

Summary:
E_tot in eV/atom: -6.1472
Offset from the most stable computed form in eV per formula unit: 2.13
Formation energy (no corrections) in eV/atom: 0.52

Entry 5:
Below is a geometry-optimized ZrNbOs structure, with properties calculated at the PBE level.

Cell lengths 8.654, 5.493, 9.433 Å; angles 90.00, 90.00, 90.00 degrees
Space group Amm2 (No. 38)
Asymmetric unit:
Zr 0.176 0.000 0.000
Zr 0.305 0.000 0.335
Nb 0.235 0.000 0.670
Nb 0.500 0.244 0.079
Os 0.000 0.000 0.491
Os 0.000 0.236 0.252
Os 0.500 0.000 0.833

Summary:
Calculated formation energy in eV/atom: -0.30
E_tot in eV/atom: -10.2532
Offset from the most stable computed form in eV per formula unit: 0.00

Entry 6:
Below is a geometry-optimized RbZrS2N structure, with properties calculated at the PBE level.

Cell lengths 5.155, 5.155, 4.383 Å; angles 90.00, 90.00, 90.00 degrees
Space group P4/mmm (No. 123)
Asymmetric unit:
Rb 0.000 0.000 0.000
Zr 0.500 0.500 0.500
S 0.000 0.500 0.500
N 0.500 0.500 0.000

Summary:
E_tot in eV/atom: -5.8815
Offset from the most stable computed form in eV per formula unit: 0.00
Formation energy (no corrections) in eV/atom: -0.66

Entry 7:
Below is a geometry-optimized SiIrRhSe2 structure, with properties calculated at the PBE level.

Cell lengths 4.954, 4.954, 4.466 Å; angles 90.00, 90.00, 90.00 degrees
Space group P4/mmm (No. 123)
Asymmetric unit:
Si 0.000 0.000 0.000
Ir 0.000 0.000 0.500
Rh 0.500 0.500 0.000
Se 0.000 0.500 0.500

Summary:
E_tot in eV/atom: -4.8658
Formation energy (no corrections) in eV/atom: 0.86

Entry 8:
Below is a geometry-optimized Dy2AlIr structure, with properties calculated at the PBE level.

Cell lengths 3.550, 3.550, 6.902 Å; angles 90.00, 90.00, 90.00 degrees
Space group P4/mmm (No. 123)
Asymmetric unit:
Dy 0.000 0.000 0.232
Al 0.500 0.500 0.500
Ir 0.500 0.500 0.000

Summary:
Calculated formation energy in eV/atom: -0.63
E_tot in eV/atom: -6.0830

Entry 9:
Below is a geometry-optimized Li2Tb2Pd3 structure, with properties calculated at the PBE level.

Cell lengths 8.399, 4.853, 7.540 Å; angles 90.00, 111.74, 90.00 degrees
Space group C2/m (No. 12)
Asymmetric unit:
Li 0.132 0.000 0.397
Tb 0.110 0.500 0.830
Pd 0.000 0.000 0.000
Pd 0.245 0.500 0.236

Summary:
Calculated formation energy in eV/atom: -0.62
E_tot in eV/atom: -4.7152
Offset from the most stable computed form in eV per formula unit: 0.00

Entry 10:
Below is a geometry-optimized Ba2RhPb2 structure, with properties calculated at the PBE level.

Cell lengths 12.313, 5.003, 12.251 Å; angles 90.00, 116.35, 90.00 degrees
Space group C2/m (No. 12)
Asymmetric unit:
Ba 0.013 0.000 0.164
Ba 0.186 0.000 0.611
Rh 0.213 0.500 0.843
Pb 0.008 0.500 0.371
Pb 0.188 0.500 0.062

Summary:
Calculated formation energy in eV/atom: -0.43
E_tot in eV/atom: -4.1529
Offset from the most stable computed form in eV per formula unit: 0.00

Entry 11:
Below is a geometry-optimized La2Nd5Y5 structure, with properties calculated at the PBE level.

Cell lengths 5.831, 6.636, 11.495 Å; angles 90.00, 90.00, 90.00 degrees
Space group Pmmm (No. 47)
Asymmetric unit:
La 0.000 0.000 0.000
La 0.000 0.500 0.500
Nd 0.500 0.000 0.500
Nd 0.500 0.248 0.246
Y 0.000 0.000 0.335
Y 0.000 0.500 0.164
Y 0.500 0.500 0.000

Summary:
Calculated formation energy in eV/atom: 0.27
E_tot in eV/atom: -5.2329
Offset from the most stable computed form in eV per formula unit: 2.48

Entry 12:
Below is a geometry-optimized TaCdP structure, with properties calculated at the PBE level.

Cell lengths 3.270, 3.270, 9.850 Å; angles 90.00, 90.00, 90.00 degrees
Space group P4/nmm (No. 129, origin choice 2)
Asymmetric unit:
Ta 0.250 0.250 0.187
Cd 0.250 0.250 0.606
P 0.250 0.250 0.923

Summary:
Calculated formation energy in eV/atom: -0.27
E_tot in eV/atom: -6.3340
Offset from the most stable computed form in eV per formula unit: 0.28

Entry 13:
Below is a geometry-optimized LaHPd3 structure, with properties calculated at the PBE level.

Cell lengths 5.214, 5.214, 5.214 Å; angles 90.00, 90.00, 90.00 degrees
Space group Pm-3m (No. 221)
Asymmetric unit:
La 0.000 0.000 0.000
H 0.500 0.500 0.500
Pd 0.000 0.000 0.500

Summary:
E_tot in eV/atom: -3.7032
Offset from the most stable computed form in eV per formula unit: 8.52

Entry 14:
Below is a geometry-optimized K2Sn3Pt4Au structure, with properties calculated at the PBE level.

Cell lengths 4.714, 4.714, 10.677 Å; angles 90.00, 90.00, 90.00 degrees
Space group P-4m2 (No. 115)
Asymmetric unit:
K 0.000 0.500 0.248
Sn 0.000 0.000 0.000
Sn 0.000 0.500 0.623
Pt 0.000 0.000 0.500
Pt 0.000 0.500 0.869
Pt 0.500 0.500 0.500
Au 0.500 0.500 0.000

Summary:
Calculated formation energy in eV/atom: -0.38
E_tot in eV/atom: -4.5488

Entry 15:
Below is a geometry-optimized Er4SeI5 structure, with properties calculated at the PBE level.

Cell lengths 19.051, 4.060, 8.780 Å; angles 90.00, 104.63, 90.00 degrees
Space group C2/m (No. 12)
Asymmetric unit:
Er 0.004 0.000 0.292
Er 0.145 0.500 0.562
Se 0.000 0.500 0.500
I 0.000 0.500 0.000
I 0.161 0.000 0.830
I 0.175 0.000 0.319

Summary:
E_tot in eV/atom: -4.1371
Formation energy (no corrections) in eV/atom: -1.19

Entry 16:
Below is a geometry-optimized KC3 structure, with properties calculated at the PBE level.

Cell lengths 3.561, 2.565, 4.987 Å; angles 90.00, 90.25, 90.00 degrees
Space group P2/m (No. 10)
Asymmetric unit:
K 0.000 0.000 0.000
C 0.194 0.500 0.500
C 0.500 0.000 0.500

Summary:
Calculated formation energy in eV/atom: 1.38
E_tot in eV/atom: -5.8111
Offset from the most stable computed form in eV per formula unit: 3.24

Entry 17:
Below is a geometry-optimized CuNi2HBr structure, with properties calculated at the PBE level.

Cell lengths 3.473, 3.473, 5.897 Å; angles 90.00, 90.00, 90.00 degrees
Space group P4/mmm (No. 123)
Asymmetric unit:
Cu 0.000 0.000 0.000
Ni 0.000 0.500 0.500
H 0.500 0.500 0.500
Br 0.500 0.500 0.000

Summary:
E_tot in eV/atom: -3.6231

Entry 18:
Below is a geometry-optimized KCo2Hg structure, with properties calculated at the PBE level.

Cell lengths 2.839, 4.371, 7.036 Å; angles 90.00, 90.00, 90.00 degrees
Space group Pmmm (No. 47)
Asymmetric unit:
K 0.000 0.000 0.000
Co 0.500 0.500 0.348
Hg 0.000 0.000 0.500

Summary:
Calculated formation energy in eV/atom: 0.73
E_tot in eV/atom: -3.1776

Entry 19:
Below is a geometry-optimized BeZn2Cd structure, with properties calculated at the PBE level.

Cell lengths 2.684, 4.387, 10.649 Å; angles 90.00, 90.00, 90.00 degrees
Space group Immm (No. 71)
Asymmetric unit:
Be 0.000 0.000 0.000
Zn 0.000 0.500 0.297
Cd 0.000 0.000 0.500

Summary:
Calculated formation energy in eV/atom: 0.20
E_tot in eV/atom: -1.5966
Offset from the most stable computed form in eV per formula unit: 0.20

Entry 20:
Below is a geometry-optimized TiBeSi2 structure, with properties calculated at the PBE level.

Cell lengths 6.661, 6.661, 4.990 Å; angles 90.00, 90.00, 90.00 degrees
Space group I-42d (No. 122)
Asymmetric unit:
Ti 0.000 0.000 0.000
Be 0.000 0.000 0.500
Si 0.199 0.250 0.625

Summary:
E_tot in eV/atom: -5.5710
Formation energy (no corrections) in eV/atom: 0.05

Entry 21:
Below is a geometry-optimized LiRe3Os structure, with properties calculated at the PBE level.

Cell lengths 4.099, 4.099, 4.099 Å; angles 90.00, 90.00, 90.00 degrees
Space group Pm-3m (No. 221)
Asymmetric unit:
Li 0.000 0.000 0.000
Re 0.000 0.000 0.500
Os 0.500 0.500 0.500

Summary:
Calculated formation energy in eV/atom: 1.25
E_tot in eV/atom: -8.8516
Offset from the most stable computed form in eV per formula unit: 0.00

Entry 22:
Below is a geometry-optimized Pa2Mn12Ge7 structure, with properties calculated at the PBE level.

Cell lengths 10.0122, 10.0122, 3.5805 Å; angles 90.00, 90.00, 120.00 degrees
Space group P-6 (No. 174)
Asymmetric unit:
Pa 0.0000 0.0000 0.0000
Pa 0.3333 0.6667 0.5000
Mn 0.0447 0.2778 0.5000
Mn 0.1095 0.7216 0.0000
Mn 0.3885 0.1729 0.0000
Mn 0.5378 0.4262 0.5000
Ge 0.0717 0.4592 0.0000
Ge 0.2529 0.2136 0.5000
Ge 0.6667 0.3333 0.0000

Summary:
Calculated formation energy in eV/atom: -0.19
E_tot in eV/atom: -7.8705

Entry 23:
Below is a geometry-optimized SrCSe2 structure, with properties calculated at the PBE level.

Cell lengths 4.9432, 4.9432, 19.2924 Å; angles 90.00, 90.00, 120.00 degrees
Space group R-3m (No. 166, hexagonal axes)
Asymmetric unit:
Sr 0.0000 0.0000 0.0000
C 0.0000 0.0000 0.5000
Se 0.0000 0.0000 0.4057

Summary:
E_tot in eV/atom: -4.2943
Formation energy (no corrections) in eV/atom: 0.17

Entry 24:
Below is a geometry-optimized Tm4SnPd2 structure, with properties calculated at the PBE level.

Cell lengths 4.6512, 4.6512, 29.5222 Å; angles 90.00, 90.00, 120.00 degrees
Space group R-3m (No. 166, hexagonal axes)
Asymmetric unit:
Tm 0.0000 0.0000 0.1153
Tm 0.0000 0.0000 0.2986
Sn 0.0000 0.0000 0.5000
Pd 0.0000 0.0000 0.3999

Summary:
Calculated formation energy in eV/atom: -0.61
E_tot in eV/atom: -5.2218

Entry 25:
Below is a geometry-optimized PmDyBiSb structure, with properties calculated at the PBE level.

Cell lengths 4.486, 4.486, 6.334 Å; angles 90.00, 90.00, 90.00 degrees
Space group P4/mmm (No. 123)
Asymmetric unit:
Pm 0.000 0.000 0.000
Dy 0.500 0.500 0.500
Bi 0.500 0.500 0.000
Sb 0.000 0.000 0.500

Summary:
E_tot in eV/atom: -5.3567
Formation energy (no corrections) in eV/atom: -1.02

Entry 26:
Below is a geometry-optimized LaCuSn structure, with properties calculated at the PBE level.

Cell lengths 4.554, 6.022, 6.170 Å; angles 85.77, 68.36, 67.84 degrees
Space group P-1 (No. 2)
Asymmetric unit:
La 0.239 0.208 0.314
Cu 0.444 0.406 0.705
Sn 0.068 0.761 0.104

Summary:
Calculated formation energy in eV/atom: -0.52
E_tot in eV/atom: -4.8597